Entry 1:
## MgInCo (PBE)

Data for a geometry-optimized MgInCo structure.

abc: 5.4749 5.4748 3.1965
angles: 73.03 73.03 33.95
Element x y z (fractional)
Co (0.0011, 0.0011, 0.9989)
In (0.3543, 0.3543, 0.6457)
Mg (0.6446, 0.6446, 0.3554)

Properties
The density of states at the Fermi level is 1.703 states/eV/cell. As for the space group: I4mm.

Entry 2:
## Sr2TiPd2 (PBE)

Data for a geometry-optimized Sr2TiPd2 structure.

abc: 7.1852 7.1852 4.8471
angles: 90.00 90.00 90.00
Element x y z (fractional)
Sr (0.1722, 0.6722, 0.5000)
Sr (0.6722, 0.8278, 0.5000)
Sr (0.8278, 0.3278, 0.5000)
Sr (0.3278, 0.1722, 0.5000)
Pd (0.3606, 0.8606, 0.0000)
Pd (0.8606, 0.6394, 0.0000)
Pd (0.6394, 0.1394, 0.0000)
Pd (0.1394, 0.3606, 0.0000)
Ti (0.0000, 0.0000, 0.0000)
Ti (0.5000, 0.5000, 0.0000)

Properties
The density of states at the Fermi level is 14.659 states/eV/cell. As for the space group: P4/mbm.

no.,formation enthalpy at 0 K (eV/atom)
1,0.058
2,-0.239